Here is an optimized crystal structure of Zr2CuAg from Alexandria. Energies are from PBE.

Cell and atoms, written as POSCAR:
```
Zr2CuAg
1.0
-3.950 1.644 -3.229
-4.658 -2.564 0.677
3.510 2.423 3.247
Ag Cu Zr
1 1 2
Direct
0.500 0.500 0.000
0.750 0.250 0.500
0.000 0.000 0.000
0.250 0.750 0.500
```

distance to the lowest polymorph of the same formula = 0.70 eV/f.u.
DFT formation energy = 70 meV per atom

=====

Here is an optimized crystal structure of Zr2CuAg from Alexandria. Energies are from PBE.

Cell and atoms, written as POSCAR:
```
Zr2CuAg
1.0
-3.908 -0.185 2.733
-3.808 2.658 -1.098
-3.967 -2.080 -1.647
Cu Zr Ag
1 2 1
Direct
0.000 0.000 0.000
0.250 0.250 0.250
0.750 0.750 0.750
0.500 0.500 0.500
```

distance to the lowest polymorph of the same formula = 0.42 eV/f.u.
DFT formation energy = -2 meV per atom

=====

Here is an optimized crystal structure of Dy2Ag5 from Alexandria. Energies are from PBE.

Cell and atoms, written as POSCAR:
```
Dy2Ag5
1.0
-1.176 3.765 -0.885
2.013 -2.535 -4.225
-6.955 -2.419 -1.047
Dy Ag
2 5
Direct
0.082 0.165 0.224
0.918 0.835 0.776
0.359 0.718 0.070
0.641 0.282 0.930
0.202 0.404 0.634
0.500 0.000 0.500
0.798 0.596 0.366
```

DFT formation energy = -236 meV per atom

=====

Here is an optimized crystal structure of Dy2Ag3 from Alexandria. Energies are from PBE.

Cell and atoms, written as POSCAR:
```
Dy2Ag3
1.0
-1.051 2.173 -2.761
3.109 -0.767 -1.787
-4.790 -7.259 -1.455
Dy Ag
2 3
Direct
0.392 0.392 0.785
0.608 0.608 0.215
0.000 0.000 0.000
0.207 0.207 0.413
0.793 0.793 0.587
```

distance to the lowest polymorph of the same formula = 0.00 eV/f.u.
DFT formation energy = -299 meV per atom

=====

Here is an optimized crystal structure of Dy2Ag3 from Alexandria. Energies are from PBE.

Cell and atoms, written as POSCAR:
```
Dy2Ag3
1.0
5.570 0.000 0.000
0.000 6.500 0.000
-2.785 -3.250 6.502
Dy Ag
4 6
Direct
0.172 0.388 0.344
0.828 0.612 0.656
0.328 0.043 0.656
0.672 0.957 0.344
0.750 0.000 0.000
0.250 0.000 0.000
0.912 0.266 0.825
0.588 0.441 0.175
0.412 0.559 0.825
0.088 0.734 0.175
```

distance to the lowest polymorph of the same formula = 0.76 eV/f.u.
DFT formation energy = -148 meV per atom

=====

Here is an optimized crystal structure of Dy13Ag2 from Alexandria. Energies are from PBE.

Cell and atoms, written as POSCAR:
```
Dy13Ag2
1.0
6.246 -0.158 0.897
-0.992 8.311 0.346
0.558 -3.686 8.452
Ag Dy
2 13
Direct
0.873 0.788 0.546
0.127 0.212 0.454
0.748 0.598 0.056
0.252 0.402 0.944
0.000 0.000 0.000
0.283 0.007 0.645
0.717 0.993 0.355
0.046 0.579 0.702
0.954 0.421 0.298
0.464 0.628 0.415
0.536 0.372 0.585
0.524 0.794 0.841
0.476 0.206 0.159
0.787 0.180 0.768
0.213 0.820 0.232
```

DFT formation energy = -35 meV per atom

=====

Magnetization readings, ordered: 0.00 1.40 0.00 0.00 0.00 0.00 μB per formula unit